Entry from the Alexandria database: a relaxed structure of CsTlCdO3 (GGA-PBE).

Cell: 8.028 3.523 10.076 Å, 90.00 100.75 90.00°
Fractional coordinates of all 12 atoms:
Cs 0.177 0.250 0.228
Cs 0.823 0.750 0.772
Tl 0.370 0.750 0.880
Tl 0.630 0.250 0.120
Cd 0.143 0.250 0.587
Cd 0.857 0.750 0.413
O 0.159 0.750 0.462
O 0.193 0.250 0.813
O 0.435 0.750 0.110
O 0.565 0.250 0.890
O 0.807 0.750 0.187
O 0.841 0.250 0.538

Computed properties:
E, hartree per atom: -0.1498

***

Entry from the Alexandria database: a relaxed structure of CsTmCdO3 (GGA-PBE).

Cell: 7.328 3.577 9.917 Å, 90.00 111.57 90.00°
Fractional coordinates of all 12 atoms:
Cs 0.043 0.250 0.189
Cs 0.957 0.750 0.811
Tm 0.472 0.250 0.851
Tm 0.528 0.750 0.149
Cd 0.373 0.750 0.553
Cd 0.627 0.250 0.447
O 0.286 0.750 0.732
O 0.350 0.250 0.022
O 0.401 0.750 0.343
O 0.599 0.250 0.657
O 0.650 0.750 0.978
O 0.714 0.250 0.268

Computed properties:
E, hartree per atom: -0.2057

***

Entry from the Alexandria database: a relaxed structure of CsUCdO4 (GGA-PBE).

Cell: 7.418 7.418 7.418 Å, 123.11 120.72 86.72°
Fractional coordinates of all 14 atoms:
Cs 0.361 0.111 0.250
Cs 0.639 0.889 0.750
U 0.000 0.000 0.500
U 0.000 0.500 0.000
Cd 0.000 0.500 0.500
Cd 0.500 0.500 0.000
O 0.172 0.244 0.927
O 0.183 0.756 0.427
O 0.193 0.242 0.549
O 0.193 0.645 0.951
O 0.807 0.355 0.049
O 0.807 0.758 0.451
O 0.817 0.244 0.573
O 0.828 0.756 0.073

Computed properties:
E, hartree per atom: -0.2531

***

Entry from the Alexandria database: a relaxed structure of Cs3U2CdO9 (GGA-PBE).

Cell: 6.274 6.274 7.685 Å, 90.00 90.00 120.00°
Fractional coordinates of all 15 atoms:
Cs 0.000 0.000 0.000
Cs 0.333 0.667 0.657
Cs 0.667 0.333 0.343
U 0.333 0.667 0.163
U 0.667 0.333 0.837
Cd 0.000 0.000 0.500
O 0.000 0.500 0.000
O 0.180 0.360 0.312
O 0.180 0.820 0.312
O 0.360 0.180 0.688
O 0.500 0.000 0.000
O 0.500 0.500 0.000
O 0.640 0.820 0.312
O 0.820 0.180 0.688
O 0.820 0.640 0.688

Computed properties:
E, hartree per atom: -0.2578